A plane-wave DFT calculation with GGA-PBE was carried out for GaPb2S after structural relaxation.

Summary:
D(E_F) ... 3.66 states/eV/cell
Raw total energy ... -3.57 eV/atom
E above lowest polymorph ... 0 meV/atom
Uncorrected formation energy ... 71 meV/atom
Total magnetization ... 0.0 μB per formula unit
Symmetry ... I-42d

abc: 6.3360 6.3360 8.1876
angles: 67.24 67.24 90.00
Atoms (fractional coordinates):
Pb: 0.6241 0.1250 0.2500
Pb: 0.1259 0.6250 0.2500
Ga: 0.0000 0.0000 0.0000
Ga: 0.7500 0.2500 0.5000
S: 0.5000 0.5000 0.0000
Pb: 0.8750 0.8741 0.7500
S: 0.2500 0.7500 0.5000
Pb: 0.3750 0.3759 0.7500